Entry 1:
PBE CrSiCl, optimized geometry; total magnetization = 2.76 Bohr magnetons per cell; ρ = 3.528 Mg/m³; uncorrected energy = -15.4 eV per cell; space group = No. 216; formation energy without anion corrections = 0.49 eV/atom
1.0
4.252 0.000 0.000
2.126 3.683 0.000
2.126 1.228 3.472
Cr Cl Si
1 1 1
direct
0.250 0.250 0.250
0.500 0.500 0.500
0.000 0.000 0.000


Entry 2:
PBE CrSi2Cl, optimized geometry; total magnetization = 3.00 Bohr magnetons per cell; ρ = 3.726 Mg/m³; uncorrected energy = -20.6 eV per cell; space group = No. 10; formation energy without anion corrections = 0.42 eV/atom
1.0
-2.501 -3.434 -0.721
2.406 -1.745 -0.035
1.950 -2.447 4.892
Si Cr Cl
2 1 1
direct
0.000 0.489 0.512
0.000 0.011 0.988
0.500 0.750 0.750
0.500 0.250 0.250


Entry 3:
PBE CrSi2Cl, optimized geometry; total magnetization = 1.42 Bohr magnetons per cell; ρ = 3.854 Mg/m³; uncorrected energy = -21.4 eV per cell; space group = No. 65; formation energy without anion corrections = 0.23 eV/atom
1.0
2.997 0.007 0.000
-0.013 2.997 0.000
0.000 0.000 6.888
Si Cl Cr
2 1 1
direct
0.000 0.000 0.939
0.000 0.000 0.561
0.500 0.500 0.250
0.500 0.500 0.750


Entry 4:
PBE CrSiCl2, optimized geometry; total magnetization = 2.61 Bohr magnetons per cell; ρ = 2.545 Mg/m³; uncorrected energy = -19.3 eV per cell; space group = No. 10; formation energy without anion corrections = -0.13 eV/atom
1.0
-0.837 -1.504 2.736
6.219 0.019 1.912
3.724 4.159 3.425
Cl Cr Si
2 1 1
direct
0.000 0.111 0.108
0.000 0.389 0.392
0.500 0.250 0.250
0.500 0.750 0.750


Entry 5:
PBE CrSi2Cl, optimized geometry; total magnetization = 0.96 Bohr magnetons per cell; ρ = 3.965 Mg/m³; uncorrected energy = -21.5 eV per cell; space group = No. 166; formation energy without anion corrections = 0.20 eV/atom
1.0
7.609 -0.002 -0.001
6.993 2.999 -0.001
6.993 1.435 2.633
Si Cr Cl
2 1 1
direct
0.012 0.012 0.012
0.488 0.488 0.488
0.750 0.750 0.750
0.250 0.250 0.250


Entry 6:
PBE CrSiCl2, optimized geometry; total magnetization = 3.83 Bohr magnetons per cell; ρ = 3.006 Mg/m³; uncorrected energy = -17.8 eV per cell; space group = No. 119; formation energy without anion corrections = 0.23 eV/atom
1.0
-2.358 6.141 -0.327
-3.387 3.740 4.233
5.126 -4.023 -0.962
Cl Cr Si
2 1 1
direct
0.000 0.000 0.000
0.250 0.750 0.500
0.500 0.500 0.000
0.750 0.250 0.500


Entry 7:
PBE CrSiCl, optimized geometry; total magnetization = 3.16 Bohr magnetons per cell; ρ = 3.286 Mg/m³; uncorrected energy = -16.4 eV per cell; space group = No. 107; formation energy without anion corrections = 0.18 eV/atom
1.0
7.171 -0.002 0.000
5.986 3.947 0.000
-6.578 -1.973 2.062
Cl Cr Si
1 1 1
direct
0.949 0.949 0.000
0.333 0.333 0.000
0.718 0.718 0.000


Entry 8:
PBE CrSi2Cl, optimized geometry; total magnetization = 3.32 Bohr magnetons per cell; ρ = 3.542 Mg/m³; uncorrected energy = -21.2 eV per cell; space group = No. 71; formation energy without anion corrections = 0.28 eV/atom
1.0
-2.667 -5.529 1.052
1.628 -5.823 -1.494
1.000 5.537 2.671
Cr Si Cl
1 2 1
direct
0.250 0.750 0.500
0.457 0.457 0.000
0.043 0.043 0.000
0.750 0.250 0.500


Entry 9:
PBE CrSi2Cl, optimized geometry; total magnetization = 2.80 Bohr magnetons per cell; ρ = 3.747 Mg/m³; uncorrected energy = -20.4 eV per cell; space group = No. 65; formation energy without anion corrections = 0.48 eV/atom
1.0
4.719 0.697 0.000
-0.687 4.721 0.000
0.000 0.000 2.796
Cl Si Cr
1 2 1
direct
0.500 0.000 0.500
0.500 0.500 0.000
0.000 0.000 0.000
0.000 0.500 0.500


Entry 10:
PBE Cr2SiCl2, optimized geometry; total magnetization = 7.88 Bohr magnetons per cell; ρ = 3.418 Mg/m³; uncorrected energy = -26.2 eV per cell; space group = No. 139; formation energy without anion corrections = 0.43 eV/atom
1.0
-2.062 2.062 5.800
2.062 -2.062 5.800
2.062 2.062 -5.800
Si Cr Cl
1 2 2
direct
0.000 0.000 0.000
0.381 0.381 0.000
0.619 0.619 0.000
0.250 0.750 0.500
0.750 0.250 0.500


Entry 11:
PBE CrSiCl2, optimized geometry; total magnetization = 2.32 Bohr magnetons per cell; ρ = 2.783 Mg/m³; uncorrected energy = -19.1 eV per cell; space group = No. 71; formation energy without anion corrections = -0.10 eV/atom
1.0
7.631 0.780 -0.275
5.534 5.312 0.275
-6.282 -3.694 2.409
Cr Cl Si
1 2 1
direct
0.250 0.750 0.500
0.387 0.387 0.000
0.113 0.113 0.000
0.750 0.250 0.500


Entry 12:
PBE CrSi2Cl, optimized geometry; total magnetization = 2.32 Bohr magnetons per cell; ρ = 2.837 Mg/m³; uncorrected energy = -22.0 eV per cell; space group = No. 8; formation energy without anion corrections = 0.08 eV/atom
1.0
3.951 -0.171 0.023
2.970 2.611 0.023
1.961 0.691 7.779
Cr Cl Si
1 1 2
direct
0.201 0.201 0.192
0.598 0.598 0.413
0.969 0.969 0.022
0.732 0.732 0.873